1.
A geometry-optimized Al2Pt structure. Source: Alexandria, functional PBE.

abc: 11.8435 11.8435 11.8435
angles: 166.06 166.06 19.77
Element x y z (fractional)
Al (0.0501, 0.8001, 0.2500)
Al (0.1999, 0.9499, 0.2500)
Al (0.8001, 0.0501, 0.7500)
Al (0.9499, 0.1999, 0.7500)
Pt (0.3750, 0.6250, 0.7500)
Pt (0.6250, 0.3750, 0.2500)

## Properties
uncorrected energy: -5.1073 eV per atom
DOS at the Fermi energy: 2.3 states/eV per cell
E_form: -0.599 eV per atom
SG: No. 141

---

2.
A geometry-optimized Al4Pt structure. Source: Alexandria, functional PBE.

abc: 5.0334 5.0334 5.0334
angles: 109.47 109.47 109.47
Element x y z (fractional)
Al (0.0000, 0.0000, 0.5000)
Al (0.0000, 0.5000, 0.0000)
Al (0.5000, 0.5000, 0.5000)
Al (0.5000, 0.0000, 0.0000)
Pt (0.0000, 0.0000, 0.0000)

## Properties
energy above the lowest structure with this stoichiometry: 0.270 eV/atom
uncorrected energy: -4.3957 eV per atom
DOS at the Fermi energy: 6.3 states/eV per cell
E_form: -0.193 eV per atom
SG: No. 229

---

3.
A geometry-optimized Al5Pt structure. Source: Alexandria, functional PBE.

abc: 6.2177 6.2177 4.0588
angles: 90.00 90.00 143.19
Element x y z (fractional)
Pt (0.5000, 0.5000, 0.0000)
Al (0.8381, 0.1619, 0.0000)
Al (0.0000, 0.0000, 0.5000)
Al (0.3342, 0.6658, 0.5000)
Al (0.1619, 0.8381, 0.0000)
Al (0.6658, 0.3342, 0.5000)

## Properties
uncorrected energy: -4.4379 eV per atom
DOS at the Fermi energy: 2.5 states/eV per cell
E_form: -0.312 eV per atom
SG: No. 65

---

4.
A geometry-optimized Al2Pt structure. Source: Alexandria, functional PBE.

abc: 6.1541 6.1541 3.2313
angles: 90.00 90.00 90.00
Element x y z (fractional)
Pt (0.5000, 0.5000, 0.0000)
Pt (0.0000, 0.0000, 0.5000)
Al (0.7179, 0.2821, 0.5000)
Al (0.2821, 0.7179, 0.5000)
Al (0.7821, 0.7821, 0.0000)
Al (0.2179, 0.2179, 0.0000)

## Properties
uncorrected energy: -5.0506 eV per atom
DOS at the Fermi energy: 3.0 states/eV per cell
E_form: -0.542 eV per atom
SG: No. 136

---

5.
A geometry-optimized Al2Pt structure. Source: Alexandria, functional PBE.

abc: 2.9536 2.9536 20.5447
angles: 90.00 90.00 120.00
Element x y z (fractional)
Al (0.0000, 0.0000, 0.9365)
Al (0.3333, 0.6667, 0.7227)
Al (0.6667, 0.3333, 0.2773)
Al (0.6667, 0.3333, 0.4036)
Al (0.3333, 0.6667, 0.5964)
Al (0.0000, 0.0000, 0.0635)
Pt (0.3333, 0.6667, 0.8447)
Pt (0.0000, 0.0000, 0.5000)
Pt (0.6667, 0.3333, 0.1553)

## Properties
uncorrected energy: -4.8112 eV per atom
DOS at the Fermi energy: 3.9 states/eV per cell
E_form: -0.303 eV per atom
SG: No. 164

---

6.
A geometry-optimized Al4Pt structure. Source: Alexandria, functional PBE.

abc: 4.8499 4.8499 4.8499
angles: 99.57 99.57 131.89
Element x y z (fractional)
Al (0.3930, 0.1997, 0.5927)
Al (0.1997, 0.6070, 0.8068)
Al (0.6070, 0.8003, 0.4073)
Al (0.8003, 0.3930, 0.1932)
Pt (0.0000, 0.0000, 0.0000)

## Properties
energy above the lowest structure with this stoichiometry: 0.075 eV/atom
uncorrected energy: -4.5902 eV per atom
DOS at the Fermi energy: 1.7 states/eV per cell
E_form: -0.388 eV per atom
SG: No. 87

---

7.
A geometry-optimized AlPt structure. Source: Alexandria, functional PBE.

abc: 7.6040 7.6040 7.6040
angles: 90.00 90.00 90.00
Element x y z (fractional)
Al (0.3140, 0.6860, 0.3140)
Al (0.1860, 0.1860, 0.1860)
Al (0.8140, 0.1860, 0.8140)
Al (0.3140, 0.3140, 0.6860)
Al (0.6860, 0.6860, 0.6860)
Al (0.8140, 0.8140, 0.1860)
Al (0.1860, 0.8140, 0.8140)
Al (0.6860, 0.3140, 0.3140)
Pt (0.1349, 0.1349, 0.8651)
Pt (0.8651, 0.1349, 0.1349)
Pt (0.6349, 0.6349, 0.3651)
Pt (0.6349, 0.3651, 0.6349)
Pt (0.8651, 0.8651, 0.8651)
Pt (0.1349, 0.8651, 0.1349)
Pt (0.3651, 0.3651, 0.3651)
Pt (0.3651, 0.6349, 0.6349)

## Properties
uncorrected energy: -5.1607 eV per atom
DOS at the Fermi energy: 8.5 states/eV per cell
E_form: -0.269 eV per atom
SG: No. 217

---

8.
A geometry-optimized Al3Pt5 structure. Source: Alexandria, functional PBE.

abc: 7.3364 7.2645 6.3518
angles: 106.68 87.45 130.09
Element x y z (fractional)
Al (0.2757, 0.0889, 0.4848)
Al (0.7937, 0.7735, 0.0600)
Al (0.7235, 0.9111, 0.5152)
Al (0.2054, 0.2265, 0.9400)
Al (0.9608, 0.5430, 0.2297)
Al (0.0384, 0.4571, 0.7703)
Pt (0.2197, 0.9058, 0.0538)
Pt (0.3880, 0.6853, 0.1527)
Pt (0.7794, 0.0942, 0.9462)
Pt (0.4391, 0.5354, 0.7151)
Pt (0.9261, 0.7720, 0.6654)
Pt (0.6112, 0.3147, 0.8473)
Pt (0.6922, 0.2174, 0.4167)
Pt (0.3070, 0.7826, 0.5833)
Pt (0.5601, 0.4646, 0.2849)
Pt (0.0730, 0.2280, 0.3346)

## Properties
uncorrected energy: -6.0100 eV per atom
DOS at the Fermi energy: 5.6 states/eV per cell
E_form: -0.831 eV per atom
SG: No. 2

---

9.
A geometry-optimized AlPt structure. Source: Alexandria, functional PBE.

abc: 7.7709 7.7709 2.7952
angles: 90.00 90.00 90.00
Element x y z (fractional)
Al (0.8170, 0.8170, 0.5000)
Al (0.6830, 0.3170, 0.0000)
Al (0.1830, 0.1830, 0.5000)
Al (0.3170, 0.6830, 0.0000)
Pt (0.8675, 0.1325, 0.5000)
Pt (0.3675, 0.3675, 0.0000)
Pt (0.6325, 0.6325, 0.0000)
Pt (0.1325, 0.8675, 0.5000)

## Properties
uncorrected energy: -5.4472 eV per atom
DOS at the Fermi energy: 3.3 states/eV per cell
E_form: -0.556 eV per atom
SG: No. 136

---

10.
A geometry-optimized AlPt3 structure. Source: Alexandria, functional PBE.

abc: 5.6122 5.6122 4.4456
angles: 90.00 90.00 120.00
Element x y z (fractional)
Al (0.6667, 0.3333, 0.7500)
Al (0.3333, 0.6667, 0.2500)
Pt (0.1678, 0.8322, 0.7500)
Pt (0.3357, 0.1678, 0.2500)
Pt (0.8322, 0.1678, 0.2500)
Pt (0.6643, 0.8322, 0.7500)
Pt (0.8322, 0.6643, 0.2500)
Pt (0.1678, 0.3357, 0.7500)

## Properties
uncorrected energy: -6.1021 eV per atom
DOS at the Fermi energy: 5.3 states/eV per cell
E_form: -0.636 eV per atom
SG: No. 194

---

11.
A geometry-optimized Al3Pt4 structure. Source: Alexandria, functional PBE.

abc: 10.2873 10.2873 10.2873
angles: 161.70 161.70 26.00
Element x y z (fractional)
Al (0.7090, 0.7090, 0.0000)
Al (0.0000, 0.0000, 0.0000)
Al (0.2910, 0.2910, 0.0000)
Pt (0.8390, 0.8390, 0.0000)
Pt (0.4313, 0.4313, 0.0000)
Pt (0.1610, 0.1610, 0.0000)
Pt (0.5687, 0.5687, 0.0000)

## Properties
energy above the lowest structure with this stoichiometry: 0.000 eV/atom
uncorrected energy: -5.8428 eV per atom
DOS at the Fermi energy: 3.6 states/eV per cell
E_form: -0.787 eV per atom
SG: No. 139

---

12.
A geometry-optimized Al4Pt structure. Source: Alexandria, functional PBE.

abc: 8.8039 8.8297 8.8297
angles: 87.33 60.37 60.37
Element x y z (fractional)
Pt (0.2500, 0.7697, 0.2303)
Pt (0.7119, 0.7704, 0.6299)
Pt (0.2881, 0.2296, 0.3701)
Pt (0.7500, 0.2303, 0.7697)
Pt (0.7881, 0.3701, 0.2296)
Pt (0.2119, 0.6299, 0.7704)
Al (0.4466, 0.8820, 0.9669)
Al (0.8569, 0.9707, 0.5042)
Al (0.6431, 0.4958, 0.0293)
Al (0.3531, 0.8265, 0.7293)
Al (0.1469, 0.2707, 0.1735)
Al (0.3876, 0.6325, 0.4327)
Al (0.5534, 0.1180, 0.0331)
Al (0.0595, 0.2009, 0.8371)
Al (0.1124, 0.5673, 0.3675)
Al (0.5595, 0.8371, 0.2009)
Al (0.4405, 0.1629, 0.7991)
Al (0.0534, 0.0331, 0.1180)
Al (0.2500, 0.3661, 0.6339)
Al (0.0000, 0.5000, 0.0000)
Al (0.7500, 0.6339, 0.3661)
Al (0.1431, 0.0293, 0.4958)
Al (0.3569, 0.5042, 0.9707)
Al (0.5000, 0.0000, 0.5000)
Al (0.6124, 0.3675, 0.5673)
Al (0.9466, 0.9669, 0.8820)
Al (0.9405, 0.7991, 0.1629)
Al (0.8876, 0.4327, 0.6325)
Al (0.6469, 0.1735, 0.2707)
Al (0.8531, 0.7293, 0.8265)

## Properties
energy above the lowest structure with this stoichiometry: 0.000 eV/atom
uncorrected energy: -4.6653 eV per atom
DOS at the Fermi energy: 9.2 states/eV per cell
E_form: -0.463 eV per atom
SG: No. 15